[1]
GaWAu2 | PBE | optimized geometry

Final energy, eV per atom: -5.1551
SG: F-43m

POSCAR file:
```
GaWAu2
1.0
-3.513 -2.838 0.758
-3.695 1.483 2.263
-3.956 0.609 -2.224
Au Ga W
2 1 1
Direct
0.750 0.750 0.750 Au
0.000 0.000 0.000 Au
0.500 0.500 0.500 Ga
0.250 0.250 0.250 W
```

[2]
YGa2Au2 | PBE | optimized geometry

Final energy, eV per atom: -4.3988
SG: I4/mmm

POSCAR file:
```
YGa2Au2
1.0
-2.032 2.032 6.129
2.032 -2.032 6.129
2.032 2.032 -6.129
Y Ga Au
1 2 2
Direct
0.000 0.000 0.000 Y
0.750 0.250 0.500 Ga
0.250 0.750 0.500 Ga
0.389 0.389 0.000 Au
0.611 0.611 0.000 Au
```

[3]
Y2Ga5Au3 | PBE | optimized geometry

Final energy, eV per atom: -4.3784
SG: Ibam

POSCAR file:
```
Y2Ga5Au3
1.0
6.220 3.864 -4.613
-1.329 -2.896 8.047
0.777 -7.444 -4.346
Au Ga Y
6 10 4
Direct
0.250 0.250 0.000 Au
0.130 0.633 0.763 Au
0.630 0.867 0.497 Au
0.370 0.133 0.503 Au
0.750 0.750 0.000 Au
0.870 0.367 0.237 Au
0.621 0.643 0.263 Ga
0.492 0.250 0.242 Ga
0.508 0.750 0.758 Ga
0.750 0.250 0.500 Ga
0.250 0.750 0.500 Ga
0.879 0.143 0.022 Ga
0.008 0.250 0.758 Ga
0.121 0.857 0.978 Ga
0.992 0.750 0.242 Ga
0.379 0.357 0.737 Ga
0.624 0.246 0.871 Y
0.376 0.754 0.129 Y
0.876 0.746 0.622 Y
0.124 0.254 0.378 Y
```